Record 1
Entry from Alexandria: a geometry-optimized CaZr2Ag structure (PBEsol).

The structure in POSCAR format:
```
CaZr2Ag
1.0
3.218 0.000 0.000
0.000 5.021 0.000
0.000 0.000 11.350
Ca Zr Ag
2 4 2
Direct
0.000 0.000 0.000 Ca
0.500 0.500 0.500 Ca
0.000 0.500 0.219 Zr
0.000 0.500 0.781 Zr
0.500 0.000 0.281 Zr
0.500 0.000 0.719 Zr
0.000 0.000 0.500 Ag
0.500 0.500 0.000 Ag
```


Record 2
Entry from Alexandria: a geometry-optimized CaZrAg3 structure (PBEsol).

The structure in POSCAR format:
```
CaZrAg3
1.0
4.936 0.000 0.000
0.000 4.936 0.000
0.000 0.000 4.936
Ca Zr Ag
1 1 3
Direct
0.000 0.000 0.000 Ca
0.500 0.500 0.500 Zr
0.000 0.000 0.500 Ag
0.000 0.500 0.000 Ag
0.500 0.000 0.000 Ag
```


Per-record V, Å³ per atom: 22.93; 24.05
Per-record final energy, eV/atom: -5.855; -3.212